Below is crystalline Ce3Rh5 at its relaxed geometry, with properties calculated at the PBE level.

## Properties
ΔE_f: -71 kJ/mol of atoms
N(E_F): 0.810 states/eV per atom
total DFT energy (no corrections): -7.55 eV/atom

Cell: 5.8874 5.8874 9.0994 Å, 90.00 90.00 105.41°
With the nearest neighbours (Å) after each atom.
Positions (direct):
Ce 0.2020 0.7980 0.0000  10 Rh 2.83-3.14
Ce 0.7980 0.2020 0.0000  10 Rh 2.83-3.14
Ce 0.7980 0.2020 0.5000  10 Rh 2.83-3.14
Ce 0.2020 0.7980 0.5000  10 Rh 2.83-3.14
Ce 0.6094 0.6094 0.7500  7 Rh 2.77-2.87
Ce 0.3906 0.3906 0.2500  7 Rh 2.77-2.87
Rh 0.5111 0.0506 0.7500  5 Ce 2.81-3.04, 4 Rh 2.84-3.02
Rh 0.4889 0.9494 0.2500  5 Ce 2.81-3.04, 4 Rh 2.84-3.02
Rh 0.0506 0.5111 0.7500  5 Ce 2.81-3.04, 4 Rh 2.84-3.02
Rh 0.9494 0.4889 0.2500  5 Ce 2.81-3.04, 4 Rh 2.84-3.02
Rh 0.0122 0.0122 0.7500  6 Rh 2.80-3.02, 5 Ce 2.87-2.96
Rh 0.9878 0.9878 0.2500  6 Rh 2.80-3.02, 5 Ce 2.87-2.96
Rh 0.3079 0.3079 0.9527  4 Ce 2.77-2.93, 4 Rh 2.80-2.87
Rh 0.6921 0.6921 0.0473  4 Ce 2.77-2.93, 4 Rh 2.80-2.87
Rh 0.6921 0.6921 0.4527  4 Ce 2.77-2.93, 4 Rh 2.80-2.87
Rh 0.3079 0.3079 0.5473  4 Ce 2.77-2.93, 4 Rh 2.80-2.87

***

Below is crystalline Ce2Rh3 at its relaxed geometry, with properties calculated at the PBE level.

## Properties
ΔE_f: -66 kJ/mol of atoms
N(E_F): 1.232 states/eV per atom
total DFT energy (no corrections): -7.47 eV/atom

Cell: 5.4390 5.4390 7.5633 Å, 46.15 46.15 41.96°
With the nearest neighbours (Å) after each atom.
Positions (direct):
Ce 0.5000 0.5000 0.7299  8 Rh 2.82-2.95
Ce 0.5000 0.5000 0.2701  8 Rh 2.82-2.95
Rh 0.0000 0.0000 0.0000  4 Ce 2.82, 4 Rh 2.82
Rh 0.8005 0.8005 0.6999  3 Rh 2.72-2.82, 6 Ce 2.89-2.95
Rh 0.1995 0.1995 0.3001  3 Rh 2.72-2.82, 6 Ce 2.89-2.95

***

Below is crystalline Ce3Rh4 at its relaxed geometry, with properties calculated at the PBE level.

## Properties
ΔE_f: -72 kJ/mol of atoms
N(E_F): 1.075 states/eV per atom
total DFT energy (no corrections): -7.49 eV/atom

Cell: 5.7222 7.7514 7.7514 Å, 114.15 104.25 104.25°
With the nearest neighbours (Å) after each atom.
Positions (direct):
Ce 0.0812 0.6167 0.8627  8 Rh 2.86-3.08
Ce 0.2184 0.1373 0.7540  8 Rh 2.86-3.08
Ce 0.4644 0.2460 0.3833  8 Rh 2.86-3.08
Ce 0.9188 0.3833 0.1373  8 Rh 2.86-3.08
Ce 0.7816 0.8627 0.2460  8 Rh 2.86-3.08
Ce 0.5356 0.7540 0.6167  8 Rh 2.86-3.08
Rh 0.5000 0.0000 0.0000  2 Rh 2.86, 6 Ce 2.89
Rh 0.0000 0.0000 0.0000  2 Rh 2.86, 6 Ce 2.92
Rh 0.9761 0.6972 0.5290  6 Ce 2.86-3.08, 3 Rh 2.99-3.04
Rh 0.4471 0.4710 0.1682  6 Ce 2.86-3.08, 3 Rh 2.99-3.04
Rh 0.2789 0.8318 0.3028  6 Ce 2.86-3.08, 3 Rh 2.99-3.04
Rh 0.0239 0.3028 0.4710  6 Ce 2.86-3.08, 3 Rh 2.99-3.04
Rh 0.5529 0.5290 0.8318  6 Ce 2.86-3.08, 3 Rh 2.99-3.04
Rh 0.7211 0.1682 0.6972  6 Ce 2.86-3.08, 3 Rh 2.99-3.04

***

Below is crystalline Ce5Rh2 at its relaxed geometry, with properties calculated at the PBE level.

## Properties
ΔE_f: -38 kJ/mol of atoms
N(E_F): 2.956 states/eV per atom
total DFT energy (no corrections): -6.74 eV/atom
energy relative to the lowest polymorph listed for this composition: 0 meV/atom

Cell: 6.2037 7.0543 8.8293 Å, 97.31 110.57 90.00°
With the nearest neighbours (Å) after each atom.
Positions (direct):
Ce 0.2139 0.4253 0.1919  2 Rh 2.69-2.99
Ce 0.0220 0.0747 0.8081  2 Rh 2.69-2.99
Ce 0.1617 0.6621 0.5562  3 Rh 2.86-3.14, 1 Ce 2.87
Ce 0.6055 0.8379 0.4438  3 Rh 2.86-3.14, 1 Ce 2.87
Ce 0.8383 0.3379 0.4438  3 Rh 2.86-3.14, 1 Ce 2.87
Ce 0.3945 0.1621 0.5562  3 Rh 2.86-3.14, 1 Ce 2.87
Ce 0.9780 0.9253 0.1919  2 Rh 2.69-2.99
Ce 0.7861 0.5747 0.8081  2 Rh 2.69-2.99
Ce 0.6170 0.2500 0.0000  4 Rh 2.80-2.82
Ce 0.3830 0.7500 0.0000  4 Rh 2.80-2.82
Rh 0.2219 0.4061 0.7927  5 Ce 2.69-2.99
Rh 0.4292 0.0939 0.2073  5 Ce 2.69-2.99
Rh 0.7781 0.5939 0.2073  5 Ce 2.69-2.99
Rh 0.5708 0.9061 0.7927  5 Ce 2.69-2.99